[1]
Compound: Ag2Hg2Te
Source: Alexandria via LeMat-Bulk
Functional: PBE-GGA
Structure: relaxed

Properties
* uncorrected formation energy: 108 meV per atom
* offset from the most stable computed form: 2.3 meV per atom
* DFT total energy: -1.782 eV/atom

Structure (CIF):
```
data_Ag2Hg2Te
_chemical_formula_sum 'Ag4 Hg4 Te2'
_cell_length_a 7.489
_cell_length_b 7.489
_cell_length_c 4.325
_cell_angle_alpha 90.00
_cell_angle_beta 90.00
_cell_angle_gamma 90.00
_symmetry_space_group_name_H-M 'P 4/m b m'
_symmetry_Int_Tables_number 127
_symmetry_space_group_name_Hall '-P 4 2ab'
loop_
_atom_site_label
_atom_site_fract_x
_atom_site_fract_y
_atom_site_fract_z
Ag1 0.140 0.360 0.000
Hg1 0.155 0.655 0.500
Te1 0.000 0.000 0.000
```


[2]
Compound: SrAl2Cr
Source: Alexandria via LeMat-Bulk
Functional: PBE-GGA
Structure: relaxed

Properties
* offset from the most stable computed form: 0.0 meV per atom
* DFT total energy: -4.696 eV/atom
* energy of formation from the pure elements: 0.00 eV/atom

Structure (CIF):
```
data_SrAl2Cr
_chemical_formula_sum 'Sr3 Al6 Cr3'
_cell_length_a 4.4837
_cell_length_b 4.4837
_cell_length_c 17.1046
_cell_angle_alpha 90.00
_cell_angle_beta 90.00
_cell_angle_gamma 120.00
_symmetry_space_group_name_H-M 'R -3 m'
_symmetry_Int_Tables_number 166
_symmetry_space_group_name_Hall '-R 3 2"'
loop_
_atom_site_label
_atom_site_fract_x
_atom_site_fract_y
_atom_site_fract_z
Sr1 0.0000 0.0000 0.0000
Al1 0.0000 0.0000 0.1966
Cr1 0.0000 0.0000 0.5000
```


[3]
Compound: Th2ZnAg3
Source: Alexandria via LeMat-Bulk
Functional: PBE-GGA
Structure: relaxed

Properties
* DFT total energy: -4.302 eV/atom
* energy of formation from the pure elements: -0.19 eV/atom

Structure (CIF):
```
data_Th2ZnAg3
_chemical_formula_sum 'Th16 Zn8 Ag24'
_cell_length_a 6.732
_cell_length_b 9.687
_cell_length_c 16.756
_cell_angle_alpha 90.00
_cell_angle_beta 90.00
_cell_angle_gamma 90.00
_symmetry_space_group_name_H-M 'F m m m'
_symmetry_Int_Tables_number 69
_symmetry_space_group_name_Hall '-F 2 2'
loop_
_atom_site_label
_atom_site_fract_x
_atom_site_fract_y
_atom_site_fract_z
Th1 0.247 0.000 0.000
Th2 0.250 0.250 0.250
Zn1 0.000 0.000 0.333
Ag1 0.000 0.000 0.170
Ag2 0.000 0.245 0.415
```